Version i
First-principles (meta-GGA SCAN) data for Li3NbV2O6 at its PBEsol-relaxed geometry, as listed in Alexandria via LeMat-Bulk.

abc: 2.822 6.030 6.680
angles: 108.93 102.20 90.00
Fractional coordinates of all 12 atoms:
O1 0.323 0.443 0.646
V1 0.156 0.312 0.313
O2 0.674 0.092 0.347
Li1 0.831 0.182 0.662
O3 0.326 0.908 0.653
Li2 0.500 0.500 0.000
Nb1 0.500 0.000 0.000
O4 0.677 0.557 0.354
O5 0.997 0.266 0.993
O6 0.003 0.734 0.007
V2 0.844 0.688 0.687
Li3 0.169 0.818 0.338

## Properties
DOS at the Fermi energy ... 2.702 states/eV/cell
Density ... 4936 kg/m3
Crystal system ... monoclinic



Version ii
First-principles (meta-GGA SCAN) data for Li3NbV2O6 at its PBEsol-relaxed geometry, as listed in Alexandria via LeMat-Bulk.

abc: 5.628 6.621 6.752
angles: 100.29 115.57 102.03
Fractional coordinates of all 24 atoms:
V1 0.230 0.680 0.681
Li1 0.000 0.000 0.500
O1 0.135 0.021 0.252
Li2 0.497 0.652 0.184
Li3 0.503 0.348 0.816
O2 0.377 0.646 0.438
O3 0.623 0.354 0.562
Li4 0.500 0.000 0.500
O4 0.871 0.345 0.069
Li5 0.006 0.335 0.834
O5 0.619 0.671 0.887
Nb1 0.265 0.990 0.994
O6 0.120 0.343 0.582
V2 0.215 0.342 0.337
O7 0.635 0.998 0.278
O8 0.880 0.657 0.418
O9 0.365 0.002 0.722
Nb2 0.735 0.010 0.006
V3 0.770 0.320 0.319
O10 0.865 0.979 0.748
Li6 0.994 0.665 0.166
O11 0.381 0.329 0.113
V4 0.785 0.658 0.663
O12 0.129 0.655 0.931

## Properties
DOS at the Fermi energy ... 0.586 states/eV/cell
Density ... 4895 kg/m3
Crystal system ... triclinic



What should be chosen as the least stable of them? Choose version i.